Pu2CuPd9: optimized geometry, PBE.

```
12
Lattice="4.126 0.000 0.000 0.000 4.126 0.000 0.000 0.000 11.882" Properties=species:S:1:pos:R:3 pbc="T T T"
Pu 0.000 0.000 2.121
Pu 0.000 0.000 9.761
Cu 0.000 0.000 5.941
Pd 0.000 2.063 0.000
Pd 0.000 2.063 4.110
Pd 0.000 2.063 7.772
Pd 2.063 0.000 0.000
Pd 2.063 0.000 4.110
Pd 2.063 0.000 7.772
Pd 2.063 2.063 2.048
Pd 2.063 2.063 5.941
Pd 2.063 2.063 9.834
```

Fermi-level density of states ... 33.6 states/eV/cell
Energy relative to the elements ... -0.38 eV per atom
Space group ... No. 123

=====

AlCuCl2: optimized geometry, PBE.

```
4
Lattice="2.233 1.289 7.463 -2.233 1.289 7.463 0.000 -2.578 7.463" Properties=species:S:1:pos:R:3 pbc="T T T"
Al 0.000 0.000 0.000
Cu 0.000 0.000 11.194
Cl 0.000 0.000 9.087
Cl 0.000 0.000 13.302
```

Fermi-level density of states ... 0.0 states/eV/cell
Energy above the lowest structure with this stoichiometry ... 0.337 eV per atom
Space group ... No. 166
Raw formation energy ... -0.309 eV per atom

=====

Pa2FeCo3As4: optimized geometry, PBE.

```
10
Lattice="4.155 0.000 0.000 0.000 4.155 0.000 0.000 0.000 9.104" Properties=species:S:1:pos:R:3 pbc="T T T"
Pa 0.000 2.078 2.192
Pa 2.078 0.000 6.912
Fe 2.078 2.078 0.000
Co 0.000 0.000 0.000
Co 0.000 2.078 5.601
Co 2.078 0.000 3.504
As 0.000 0.000 4.552
As 0.000 2.078 7.900
As 2.078 0.000 1.204
As 2.078 2.078 4.552
```

Fermi-level density of states ... 3.9 states/eV/cell
Energy relative to the elements ... -0.68 eV per atom
Space group ... No. 115

=====

BaYBi: optimized geometry, PBE.

```
9
Lattice="8.765 0.000 0.000 -4.382 7.590 0.000 0.000 0.000 5.104" Properties=species:S:1:pos:R:3 pbc="T T T"
Ba -1.807 3.129 0.000
Ba 3.613 0.000 0.000
Ba 2.576 4.461 0.000
Y -3.342 5.788 2.552
Y 1.040 1.802 2.552
Y 6.684 0.000 2.552
Bi 0.000 0.000 0.000
Bi 0.000 5.060 2.552
Bi 4.382 2.530 2.552
```

Fermi-level density of states ... 4.6 states/eV/cell
Energy relative to the elements ... -0.59 eV per atom
Energy above the lowest structure with this stoichiometry ... 0.110 eV per atom
Space group ... No. 189

=====

SrZnNi3: optimized geometry, PBE.

```
5
Lattice="4.751 0.000 0.000 0.000 4.751 0.000 0.000 0.000 4.751" Properties=species:S:1:pos:R:3 pbc="T T T"
Sr 0.000 0.000 0.000
Zn 2.376 2.376 2.376
Ni 0.000 0.000 2.376
Ni 0.000 2.376 0.000
Ni 2.376 0.000 0.000
```

Fermi-level density of states ... 1.6 states/eV/cell
Energy relative to the elements ... 1.68 eV per atom
Energy above the lowest structure with this stoichiometry ... 1.346 eV per atom
Space group ... No. 221

=====

LiZrMn2: optimized geometry, PBE.

```
4
Lattice="3.148 0.000 0.000 0.000 4.244 0.000 0.000 0.000 4.492" Properties=species:S:1:pos:R:3 pbc="T T T"
Li 0.000 0.000 0.000
Zr 1.574 0.000 2.246
Mn 0.000 2.122 2.246
Mn 1.574 2.122 0.000
```

Fermi-level density of states ... 3.5 states/eV/cell
Energy relative to the elements ... 0.26 eV per atom
Space group ... No. 47

=====

NbMoSe: optimized geometry, PBE.

```
6
Lattice="1.667 -8.890 0.000 1.667 8.890 0.000 0.000 0.000 4.321" Properties=species:S:1:pos:R:3 pbc="T T T"
Nb 1.667 7.615 3.241
Nb 1.667 -7.615 1.080
Mo 1.667 1.092 3.241
Mo 1.667 -1.092 1.080
Se 1.667 5.863 1.080
Se 1.667 -5.863 3.241
```

Fermi-level density of states ... 2.8 states/eV/cell
Energy above the lowest structure with this stoichiometry ... 0.000 eV per atom
Space group ... No. 63
Raw formation energy ... -0.312 eV per atom

=====

Mg3CdRh: optimized geometry, PBE.

```
15
Lattice="6.569 0.000 0.000 0.000 6.569 0.000 0.000 0.000 6.569" Properties=species:S:1:pos:R:3 pbc="T T T"
Mg 0.000 0.000 0.000
Mg 1.796 1.796 1.796
Mg 1.796 1.796 4.772
Mg 1.796 4.772 1.796
Mg 1.796 4.772 4.772
Mg 4.772 1.796 1.796
Mg 4.772 1.796 4.772
Mg 4.772 4.772 1.796
Mg 4.772 4.772 4.772
Cd 0.000 0.000 3.284
Cd 0.000 3.284 0.000
Cd 3.284 0.000 0.000
Rh 0.000 3.284 3.284
Rh 3.284 0.000 3.284
Rh 3.284 3.284 0.000
```

Fermi-level density of states ... 7.1 states/eV/cell
Energy relative to the elements ... -0.27 eV per atom
Energy above the lowest structure with this stoichiometry ... 0.000 eV per atom
Space group ... No. 221

=====

Sr2GeSb2: optimized geometry, PBE.

```
10
Lattice="8.050 0.000 0.000 0.000 8.050 0.000 0.000 0.000 4.840" Properties=species:S:1:pos:R:3 pbc="T T T"
Sr 1.410 2.614 0.000
Sr 2.614 6.639 0.000
Sr 5.435 1.410 0.000
Sr 6.639 5.435 0.000
Ge 0.000 0.000 2.420
Ge 4.025 4.025 2.420
Sb 1.056 5.081 2.420
Sb 2.969 1.056 2.420
Sb 5.081 6.993 2.420
Sb 6.993 2.969 2.420
```

Fermi-level density of states ... 5.2 states/eV/cell
Space group ... No. 127
Raw formation energy ... -0.615 eV per atom

=====

CsTl2I2: optimized geometry, PBE.

```
5
Lattice="-2.355 2.355 10.110 2.355 -2.355 10.110 2.355 2.355 -10.110" Properties=species:S:1:pos:R:3 pbc="T T T"
Cs 0.000 0.000 0.000
Tl 2.355 0.000 5.055
Tl 0.000 2.355 5.055
I 0.000 0.000 7.911
I 0.000 0.000 12.309
```

Fermi-level density of states ... 1.6 states/eV/cell
Energy above the lowest structure with this stoichiometry ... 0.000 eV per atom
Space group ... No. 139
Raw formation energy ... -0.768 eV per atom

=====

Nd3DyIn4: optimized geometry, PBE.

```
8
Lattice="-1.808 3.583 9.547 1.808 -3.583 9.547 1.808 3.583 -9.547" Properties=species:S:1:pos:R:3 pbc="T T T"
Nd 0.000 0.000 0.000
Nd 1.808 0.000 5.356
Nd 0.000 3.583 4.191
Dy 0.000 0.000 9.547
In 1.808 1.530 -2.390
In 1.808 1.530 2.390
In 0.000 2.054 7.156
In 0.000 2.054 11.937
```

Fermi-level density of states ... 7.3 states/eV/cell
Energy relative to the elements ... -0.31 eV per atom
Energy above the lowest structure with this stoichiometry ... 0.179 eV per atom
Space group ... No. 71

=====

PaAl2Au: optimized geometry, PBE.

```
8
Lattice="2.067 -9.179 0.000 2.067 9.179 0.000 0.000 0.000 4.302" Properties=species:S:1:pos:R:3 pbc="T T T"
Pa 2.067 7.388 3.227
Pa 2.067 -7.388 1.076
Al 2.067 4.551 1.076
Al 2.067 0.621 3.227
Al 2.067 -0.621 1.076
Al 2.067 -4.551 3.227
Au 2.067 3.099 3.227
Au 2.067 -3.099 1.076
```

Fermi-level density of states ... 7.7 states/eV/cell
Energy relative to the elements ... -0.38 eV per atom
Energy above the lowest structure with this stoichiometry ... 0.000 eV per atom
Space group ... No. 63

=====

ScCd2Bi2: optimized geometry, PBE.

```
10
Lattice="8.062 0.000 0.000 0.000 8.062 0.000 0.000 0.000 4.301" Properties=species:S:1:pos:R:3 pbc="T T T"
Sc 0.000 0.000 0.000
Sc 4.031 4.031 0.000
Cd 1.132 2.899 2.151
Cd 2.899 6.931 2.151
Cd 5.163 1.132 2.151
Cd 6.931 5.163 2.151
Bi 1.330 5.362 0.000
Bi 2.701 1.330 0.000
Bi 5.362 6.732 0.000
Bi 6.732 2.701 0.000
```

Fermi-level density of states ... 7.4 states/eV/cell
Energy relative to the elements ... -0.02 eV per atom
Energy above the lowest structure with this stoichiometry ... 0.084 eV per atom
Space group ... No. 127

=====

ScMn2Be: optimized geometry, PBE.

```
4
Lattice="3.030 0.000 0.000 0.000 4.093 0.000 0.000 0.000 4.272" Properties=species:S:1:pos:R:3 pbc="T T T"
Sc 0.000 0.000 0.000
Mn 0.000 2.047 2.136
Mn 1.515 2.047 0.000
Be 1.515 0.000 2.136
```

Fermi-level density of states ... 3.4 states/eV/cell
Energy relative to the elements ... 0.16 eV per atom
Space group ... No. 47

=====

YTa2Au: optimized geometry, PBE.

```
4
Lattice="3.497 0.000 0.000 0.000 3.497 0.000 0.000 0.000 6.841" Properties=species:S:1:pos:R:3 pbc="T T T"
Y 0.000 0.000 0.000
Ta 0.000 0.000 3.538
Ta 1.748 1.748 4.809
Au 1.748 1.748 1.793
```

Fermi-level density of states ... 4.0 states/eV/cell
Energy relative to the elements ... -0.04 eV per atom
Energy above the lowest structure with this stoichiometry ... 0.000 eV per atom
Space group ... No. 99

=====

USiNi6: optimized geometry, PBE.

```
8
Lattice="5.176 0.000 0.000 -2.588 4.483 0.000 0.000 0.000 4.249" Properties=species:S:1:pos:R:3 pbc="T T T"
U 0.000 0.000 0.000
Si 0.000 2.989 2.125
Ni -1.284 2.247 0.000
Ni 1.352 0.781 2.125
Ni 1.284 2.247 0.000
Ni 0.000 4.471 0.000
Ni 3.824 0.781 2.125
Ni 2.588 2.921 2.125
```

Fermi-level density of states ... 6.6 states/eV/cell
Space group ... No. 187
Raw formation energy ... -0.242 eV per atom

=====

Ti2Cu2Pb: optimized geometry, PBE.

```
5
Lattice="-2.045 2.045 5.388 2.045 -2.045 5.388 2.045 2.045 -5.388" Properties=species:S:1:pos:R:3 pbc="T T T"
Ti 2.045 0.000 2.694
Ti 0.000 2.045 2.694
Cu 0.000 0.000 1.149
Cu 0.000 0.000 9.628
Pb 0.000 0.000 5.388
```

Fermi-level density of states ... 3.6 states/eV/cell
Energy relative to the elements ... 0.18 eV per atom
Space group ... No. 139

=====

Ce3PuO7: optimized geometry, PBE.

```
22
Lattice="3.905 -5.509 0.000 3.905 5.509 0.000 0.000 0.000 7.758" Properties=species:S:1:pos:R:3 pbc="T T T"
Ce 0.000 0.000 0.000
Ce 0.000 0.000 3.879
Ce 2.079 2.632 5.818
Ce 5.731 2.632 5.818
Ce 2.079 -2.632 1.939
Ce 5.731 -2.632 1.939
Pu 3.905 0.000 0.000
Pu 3.905 0.000 3.879
O 3.905 4.058 5.818
O 3.905 4.030 1.939
O 2.147 1.385 0.196
O 2.147 1.385 3.683
O 3.905 1.119 5.818
O 2.147 -1.385 4.075
O 2.147 -1.385 7.562
O 5.662 1.385 0.196
O 5.662 1.385 3.683
O 3.905 -1.119 1.939
O 5.662 -1.385 4.075
O 5.662 -1.385 7.562
O 3.905 -4.030 5.818
O 3.905 -4.058 1.939
```

Fermi-level density of states ... 31.7 states/eV/cell
Space group ... No. 63
Raw formation energy ... -3.360 eV per atom

=====

PuScGaIr: optimized geometry, PBE.

```
4
Lattice="0.000 3.408 3.408 3.408 0.000 3.408 3.408 3.408 0.000" Properties=species:S:1:pos:R:3 pbc="T T T"
Pu 0.000 0.000 0.000
Sc 3.408 3.408 3.408
Ga 5.112 5.112 5.112
Ir 1.704 1.704 1.704
```

Fermi-level density of states ... 6.3 states/eV/cell
Energy relative to the elements ... -0.49 eV per atom
Space group ... No. 216

=====

Pm2AgPd4: optimized geometry, PBE.

```
7
Lattice="4.495 -2.708 0.000 4.495 2.708 0.000 -1.869 0.000 6.829" Properties=species:S:1:pos:R:3 pbc="T T T"
Pm 0.157 0.000 1.804
Pm 6.964 0.000 5.025
Ag 4.495 0.000 0.000
Pd 2.248 1.354 0.000
Pd 1.014 0.000 4.474
Pd 2.248 -1.354 0.000
Pd 6.107 0.000 2.355
```

Fermi-level density of states ... 2.5 states/eV/cell
Energy relative to the elements ... -0.42 eV per atom
Energy above the lowest structure with this stoichiometry ... 0.179 eV per atom
Space group ... No. 12